Entry from Alexandria: a relaxed Zn2MoRh crystal (PBE).

Lattice parameters (Å, degrees): 2.8304 4.5194 4.6320 90.00 90.00 90.00
Fractional coordinates of all 4 atoms:
Zn: 0.0000 0.0000 0.0000
Zn: 0.5000 0.0000 0.5000
Mo: 0.0000 0.5000 0.5000
Rh: 0.5000 0.5000 0.0000

---

Entry from Alexandria: a relaxed Dy2HoGa6 crystal (PBE).

Lattice parameters (Å, degrees): 7.4623 7.4623 3.8196 90.00 90.00 120.00
Fractional coordinates of all 9 atoms:
Dy: 0.3333 0.6667 0.0000
Dy: 0.6667 0.3333 0.0000
Ho: 0.0000 0.0000 0.0000
Ga: 0.0000 0.3331 0.5000
Ga: 0.0000 0.6669 0.5000
Ga: 0.3331 0.0000 0.5000
Ga: 0.3331 0.3331 0.5000
Ga: 0.6669 0.0000 0.5000
Ga: 0.6669 0.6669 0.5000

---

Entry from Alexandria: a relaxed SrAgPS2 crystal (PBE).

Lattice parameters (Å, degrees): 5.5862 5.5862 5.7582 90.00 90.00 90.00
Fractional coordinates of all 5 atoms:
Sr: 0.0000 0.0000 0.0000
Ag: 0.5000 0.5000 0.5000
P: 0.0000 0.0000 0.5000
S: 0.0000 0.5000 0.0000
S: 0.5000 0.0000 0.0000

Summary:
Formation energy from raw total energies   0.72 eV/atom

---

Entry from Alexandria: a relaxed KCuI2O crystal (PBE).

Lattice parameters (Å, degrees): 6.4420 6.4420 4.9774 90.00 90.00 90.00
Fractional coordinates of all 5 atoms:
K: 0.0000 0.0000 0.0000
Cu: 0.5000 0.5000 0.5000
I: 0.0000 0.5000 0.0000
I: 0.5000 0.0000 0.0000
O: 0.0000 0.0000 0.5000

Summary:
Formation energy from raw total energies   0.55 eV/atom

---

Summary of M_tot in μB/cell
0.00 0.00 3.23 2.04
(order as listed above)
Summary of uncorrected energy in eV per atom
-5.1465 -4.1801 -2.9160 -2.1042
(order as listed above)